Run a
An optimized crystal structure of TaSe2SBr, computed with PBE.

The space group is P4/mmm (No. 123) and the conventional cell measures 4.791, 4.791 and 4.965 Å, with angles of 90.00, 90.00 and 90.00 degrees. The distinct sites, in fractional coordinates, are Ta at (0.000, 0.000, 0.000), Se at (0.000, 0.500, 0.500), S at (0.500, 0.500, 0.500) and Br at (0.500, 0.500, 0.000).

As for the total magnetic moment: 2.34 μB/f.u.


Run b
An optimized crystal structure of TaSe2SBr, computed with PBE.

The space group is P4/mmm (No. 123) and the conventional cell measures 5.012, 5.012 and 5.197 Å, with angles of 90.00, 90.00 and 90.00 degrees. The distinct sites, in fractional coordinates, are Ta at (0.000, 0.000, 0.000), Se at (0.000, 0.500, 0.000), S at (0.500, 0.500, 0.500) and Br at (0.000, 0.000, 0.500).

As for the total magnetic moment: 1.99 μB/f.u.


Stability ranking, top entry: run b; the second entry is 799 meV per atom less favorable.